# 1
This record from Alexandria via LeMat-Bulk describes a relaxed structure of NbP2WO. The functional is GGA+U.

## Properties
- Excess energy over the best structure of this formula in the dataset: 85.7 meV per atom

extended XYZ file:
```
5
Lattice="4.9136 0.0000 0.0000 0.0000 4.9136 0.0000 0.0000 0.0000 3.7400" Properties=species:S:1:pos:R:3 pbc="T T T"
P 0.0000 2.4568 0.0000
P 2.4568 0.0000 0.0000
Nb 2.4568 2.4568 1.8700
O 0.0000 0.0000 1.8700
W 0.0000 0.0000 0.0000
```

# 2
This record from Alexandria via LeMat-Bulk describes a relaxed structure of NbPWO2. The functional is GGA+U.

## Properties
- Excess energy over the best structure of this formula in the dataset: 302.3 meV per atom

extended XYZ file:
```
5
Lattice="3.8534 0.0000 0.0000 0.0000 3.8534 0.0000 0.0000 0.0000 5.5123" Properties=species:S:1:pos:R:3 pbc="T T T"
P 0.0000 0.0000 2.7561
Nb 1.9267 1.9267 2.7561
O 0.0000 1.9267 0.0000
O 1.9267 0.0000 0.0000
W 0.0000 0.0000 0.0000
```

# 3
This record from Alexandria via LeMat-Bulk describes a relaxed structure of NbP2WO. The functional is GGA+U.

## Properties
- Excess energy over the best structure of this formula in the dataset: 0.0 meV per atom

extended XYZ file:
```
5
Lattice="-3.1551 2.8886 2.4603 -3.7314 -1.7816 -2.6933 -0.5357 -2.7882 2.5866" Properties=species:S:1:pos:R:3 pbc="T T T"
P -1.8657 -0.8908 -1.3467
P -1.5775 1.4443 1.2302
Nb 0.0000 0.0000 0.0000
O -0.2678 -1.3941 1.2933
W -3.7111 -0.8407 1.1768
```

# 4
This record from Alexandria via LeMat-Bulk describes a relaxed structure of NbPWO2. The functional is GGA+U.

## Properties
- Excess energy over the best structure of this formula in the dataset: 0.0 meV per atom

extended XYZ file:
```
5
Lattice="3.9116 0.0000 0.0000 0.0000 3.9116 0.0000 0.0000 0.0000 5.4235" Properties=species:S:1:pos:R:3 pbc="T T T"
P 0.0000 0.0000 2.7118
Nb 0.0000 0.0000 0.0000
O 0.0000 1.9558 0.0000
O 1.9558 0.0000 0.0000
W 1.9558 1.9558 2.7118
```